# 1
Entry from the Alexandria database: a crystal of ZnInCo3 relaxed with PBEsol (meta-GGA SCAN).

- calculated formation energy (eV/atom) = 1.5951
- density of states at the Fermi level (states/eV per atom) = 0.45

The structure in extended XYZ format:
```
5
Lattice="-2.957 0.156 -3.494 0.988 -4.352 -1.030 -3.356 -1.418 2.776" Properties=species:S:1:pos:R:3 pbc="T T T"
Zn -2.662 -2.807 -0.874
Co -1.678 -0.709 1.388
Co 0.494 -2.176 -0.515
Co -1.478 0.078 -1.747
In 0.000 0.000 0.000
```



# 2
Entry from the Alexandria database: a crystal of ZrInCo4 relaxed with PBEsol (meta-GGA SCAN).

- calculated formation energy (eV/atom) = -0.1494
- density of states at the Fermi level (states/eV per atom) = 1.17

The structure in extended XYZ format:
```
6
Lattice="4.802 0.000 0.000 2.401 4.158 0.000 2.401 1.386 3.921" Properties=species:S:1:pos:R:3 pbc="T T T"
Co 4.802 4.153 1.472
Co 4.802 2.772 3.425
Co 3.606 2.082 1.472
Co 5.997 2.082 1.472
In 7.203 4.158 2.940
Zr 0.000 0.000 0.000
```